Entry 1:
## HfZr5Sc4 (PBE)

Data for a geometry-optimized HfZr5Sc4 structure.

Cell lengths 7.817, 7.817, 10.053 Å; angles 90.06, 90.06, 23.30 degrees
Atoms (fractional coordinates):
Hf 0.000 0.000 0.000
Zr 0.000 0.000 0.500
Zr 0.326 0.326 0.448
Zr 0.327 0.327 0.052
Zr 0.673 0.673 0.948
Zr 0.674 0.674 0.552
Sc 0.154 0.154 0.248
Sc 0.472 0.472 0.250
Sc 0.528 0.528 0.750
Sc 0.846 0.846 0.752

**Electronic total energy**: -7.617 eV per atom
**Symmetry**: No. 12


Entry 2:
## Hf2Zr2Sc (PBE)

Data for a geometry-optimized Hf2Zr2Sc structure.

Cell lengths 6.267, 6.267, 5.958 Å; angles 90.17, 90.17, 89.91 degrees
Atoms (fractional coordinates):
Hf 0.168 0.832 0.500
Hf 0.451 0.949 0.132
Hf 0.832 0.168 0.000
Hf 0.949 0.451 0.632
Zr 0.061 0.739 0.000
Zr 0.562 0.669 0.760
Zr 0.669 0.562 0.260
Zr 0.739 0.061 0.500
Sc 0.231 0.343 0.254
Sc 0.343 0.231 0.754

**Electronic total energy**: -8.450 eV per atom
**Symmetry**: No. 9


Entry 3:
## Hf3Zr8Sc (PBE)

Data for a geometry-optimized Hf3Zr8Sc structure.

Cell lengths 7.490, 7.490, 7.490 Å; angles 118.01, 118.01, 93.49 degrees
Atoms (fractional coordinates):
Hf 0.000 0.000 0.000
Hf 0.250 0.750 0.500
Hf 0.750 0.250 0.500
Zr 0.115 0.115 0.714
Zr 0.233 0.709 0.000
Zr 0.291 0.291 0.524
Zr 0.402 0.402 0.286
Zr 0.598 0.885 0.000
Zr 0.709 0.233 0.000
Zr 0.767 0.767 0.476
Zr 0.885 0.598 0.000
Sc 0.500 0.500 0.000

**Electronic total energy**: -7.874 eV per atom
**Symmetry**: No. 121


Entry 4:
## HfZr5Sc5 (PBE)

Data for a geometry-optimized HfZr5Sc5 structure.

Cell lengths 5.564, 5.564, 10.137 Å; angles 90.00, 90.00, 120.00 degrees
Atoms (fractional coordinates):
Hf 0.000 0.000 0.000
Zr 0.003 0.502 0.500
Zr 0.498 0.502 0.500
Zr 0.498 0.997 0.500
Zr 0.667 0.333 0.259
Zr 0.667 0.333 0.741
Sc 0.000 0.000 0.313
Sc 0.000 0.000 0.687
Sc 0.333 0.667 0.165
Sc 0.333 0.667 0.835
Sc 0.667 0.333 0.000

**Electronic total energy**: -7.320 eV per atom
**Symmetry**: No. 187


What did the fourth record say?
## HfZr5Sc5 (PBE)

Data for a geometry-optimized HfZr5Sc5 structure.

Cell lengths 5.564, 5.564, 10.137 Å; angles 90.00, 90.00, 120.00 degrees
Atoms (fractional coordinates):
Hf 0.000 0.000 0.000
Zr 0.003 0.502 0.500
Zr 0.498 0.502 0.500
Zr 0.498 0.997 0.500
Zr 0.667 0.333 0.259
Zr 0.667 0.333 0.741
Sc 0.000 0.000 0.313
Sc 0.000 0.000 0.687
Sc 0.333 0.667 0.165
Sc 0.333 0.667 0.835
Sc 0.667 0.333 0.000

**Electronic total energy**: -7.320 eV per atom
**Symmetry**: No. 187


What is the electronic total energy in the third record?
-7.874 eV per atom


Which of these has the lowest electronic total energy?
Hf2Zr2Sc